1.
{"formula": "Ac12DyPb7", "functional": "PBE", "state": "relaxed", "space_group": "No. 166", "lattice": [[10.267, -0.444, -0.667], [-3.281, 9.738, -0.667], [-3.281, -4.366, 8.730]], "species": ["Ac", "Ac", "Ac", "Ac", "Ac", "Ac", "Ac", "Ac", "Ac", "Ac", "Ac", "Ac", "Dy", "Pb", "Pb", "Pb", "Pb", "Pb", "Pb", "Pb"], "frac_coords": [[0.000, 0.272, 0.728], [0.728, 0.272, 0.000], [0.492, 0.168, 0.492], [0.832, 0.508, 0.508], [0.272, 0.000, 0.728], [0.508, 0.508, 0.832], [0.492, 0.492, 0.168], [0.728, 0.000, 0.272], [0.168, 0.492, 0.492], [0.508, 0.832, 0.508], [0.272, 0.728, 0.000], [0.000, 0.728, 0.272], [0.000, 0.000, 0.000], [0.867, 0.565, 0.867], [0.435, 0.133, 0.133], [0.133, 0.133, 0.435], [0.500, 0.500, 0.500], [0.867, 0.867, 0.565], [0.565, 0.867, 0.867], [0.133, 0.435, 0.133]]}


2.
{"formula": "AcDyPb2", "functional": "PBE", "state": "relaxed", "space_group": "No. 123", "lattice": [[4.181, 0.000, 0.000], [0.000, 4.181, 0.000], [0.000, 0.000, 7.296]], "species": ["Pb", "Pb", "Ac", "Dy"], "frac_coords": [[0.000, 0.000, 0.719], [0.000, 0.000, 0.281], [0.500, 0.500, 0.000], [0.500, 0.500, 0.500]]}


3.
{"formula": "Ac2DyPb9", "functional": "PBE", "state": "relaxed", "space_group": "No. 123", "lattice": [[5.022, 0.000, 0.000], [0.000, 5.022, 0.000], [0.000, 0.000, 14.888]], "species": ["Ac", "Ac", "Dy", "Pb", "Pb", "Pb", "Pb", "Pb", "Pb", "Pb", "Pb", "Pb"], "frac_coords": [[0.000, 0.000, 0.329], [0.000, 0.000, 0.671], [0.000, 0.000, 0.000], [0.500, 0.500, 0.000], [0.500, 0.500, 0.329], [0.500, 0.500, 0.671], [0.500, 0.000, 0.156], [0.500, 0.000, 0.500], [0.500, 0.000, 0.844], [0.000, 0.500, 0.156], [0.000, 0.500, 0.500], [0.000, 0.500, 0.844]]}


4.
{"formula": "Ac4DyPb4", "functional": "PBE", "state": "relaxed", "space_group": "No. 86", "lattice": [[6.969, 0.000, 0.000], [0.000, 9.966, 0.000], [0.000, 0.000, 9.966]], "species": ["Ac", "Ac", "Ac", "Ac", "Ac", "Ac", "Ac", "Ac", "Dy", "Dy", "Pb", "Pb", "Pb", "Pb", "Pb", "Pb", "Pb", "Pb"], "frac_coords": [[0.362, 0.277, 0.927], [0.862, 0.573, 0.777], [0.362, 0.723, 0.073], [0.138, 0.223, 0.573], [0.638, 0.927, 0.723], [0.138, 0.777, 0.427], [0.862, 0.427, 0.223], [0.638, 0.073, 0.277], [0.000, 0.000, 0.000], [0.500, 0.500, 0.500], [0.651, 0.765, 0.406], [0.651, 0.235, 0.594], [0.151, 0.906, 0.735], [0.849, 0.265, 0.906], [0.849, 0.735, 0.094], [0.349, 0.406, 0.235], [0.349, 0.594, 0.765], [0.151, 0.094, 0.265]]}


5.
{"formula": "Ac2DyPb2", "functional": "PBE", "state": "relaxed", "space_group": "No. 36", "polymorph_energy_ev_per_fu": 0.296, "lattice": [[-1.086, 1.695, -4.942], [-6.469, -2.675, 0.504], [-2.678, 7.623, 6.084]], "species": ["Ac", "Ac", "Ac", "Ac", "Dy", "Dy", "Pb", "Pb", "Pb", "Pb"], "frac_coords": [[0.000, 0.727, 0.999], [0.803, 0.476, 0.606], [0.197, 0.976, 0.394], [0.000, 0.227, 0.001], [0.399, 0.978, 0.798], [0.601, 0.478, 0.202], [0.424, 0.477, 0.848], [0.820, 0.976, 0.639], [0.180, 0.476, 0.361], [0.576, 0.977, 0.152]]}


6.
{"formula": "AcDyPb", "functional": "PBE", "state": "relaxed", "space_group": "No. 129", "polymorph_energy_ev_per_fu": 0.095, "lattice": [[-4.755, 0.619, -0.761], [-0.665, -4.803, 0.247], [-1.334, 0.640, 8.849]], "species": ["Ac", "Ac", "Dy", "Dy", "Pb", "Pb"], "frac_coords": [[0.814, 0.867, 0.569], [0.313, 0.366, 0.271], [0.814, 0.366, 0.920], [0.314, 0.866, 0.920], [0.813, 0.866, 0.169], [0.314, 0.367, 0.670]]}


In the order shown, the computed ΔH_f (0 K) values come out to -238 -443 -366 -360 -444 -423 meV per atom.